No. 1
# TmScZnNi

Crystalline TmScZnNi at its relaxed geometry (GGA-PBE, Alexandria via LeMat-Bulk).

Summary:
As for the formation energy: -0.417 eV per atom. Its space group is No. 99. The energy above the lowest structure with this stoichiometry is 0.000 eV/atom.

abc: 3.330 3.330 6.740
angles: 90.00 90.00 90.00
Fractional positions:
Tm (0.000, 0.000, 0.000)
Sc (0.000, 0.000, 0.465)
Zn (0.500, 0.500, 0.712)
Ni (0.500, 0.500, 0.252)

---

No. 2
# TmScZnNi

Crystalline TmScZnNi at its relaxed geometry (GGA-PBE, Alexandria via LeMat-Bulk).

Summary:
As for the formation energy: -0.381 eV per atom. Its space group is No. 216. The energy above the lowest structure with this stoichiometry is 0.035 eV/atom.

abc: 6.693 6.693 6.693
angles: 90.00 90.00 90.00
Fractional positions:
Tm (0.000, 0.000, 0.000)
Tm (0.000, 0.500, 0.500)
Tm (0.500, 0.000, 0.500)
Tm (0.500, 0.500, 0.000)
Sc (0.000, 0.000, 0.500)
Sc (0.000, 0.500, 0.000)
Sc (0.500, 0.000, 0.000)
Sc (0.500, 0.500, 0.500)
Zn (0.250, 0.250, 0.250)
Zn (0.250, 0.750, 0.750)
Zn (0.750, 0.250, 0.750)
Zn (0.750, 0.750, 0.250)
Ni (0.250, 0.250, 0.750)
Ni (0.250, 0.750, 0.250)
Ni (0.750, 0.250, 0.250)
Ni (0.750, 0.750, 0.750)

---

No. 3
# Tm2ScZn12Ni3

Crystalline Tm2ScZn12Ni3 at its relaxed geometry (GGA-PBE, Alexandria via LeMat-Bulk).

Summary:
As for the formation energy: 0.130 eV per atom. Its space group is No. 166.

abc: 7.906 7.906 7.906
angles: 58.72 58.72 58.72
Fractional positions:
Tm (0.086, 0.086, 0.086)
Tm (0.914, 0.914, 0.914)
Sc (0.500, 0.500, 0.500)
Zn (0.029, 0.668, 0.668)
Zn (0.258, 0.258, 0.650)
Zn (0.258, 0.650, 0.258)
Zn (0.332, 0.332, 0.971)
Zn (0.332, 0.971, 0.332)
Zn (0.350, 0.742, 0.742)
Zn (0.650, 0.258, 0.258)
Zn (0.668, 0.029, 0.668)
Zn (0.668, 0.668, 0.029)
Zn (0.742, 0.350, 0.742)
Zn (0.742, 0.742, 0.350)
Zn (0.971, 0.332, 0.332)
Ni (0.000, 0.500, 0.500)
Ni (0.500, 0.000, 0.500)
Ni (0.500, 0.500, 0.000)

---

No. 4
# ScUNi4

Crystalline ScUNi4 at its relaxed geometry (GGA-PBE, Alexandria via LeMat-Bulk).

Summary:
As for the formation energy: -0.368 eV per atom. Its space group is No. 164. The energy above the lowest structure with this stoichiometry is 0.000 eV/atom.

abc: 4.851 4.851 8.260
angles: 90.00 90.00 120.00
Fractional positions:
Sc (0.333, 0.667, 0.448)
Sc (0.667, 0.333, 0.552)
U (0.333, 0.667, 0.062)
U (0.667, 0.333, 0.938)
Ni (0.000, 0.000, 0.000)
Ni (0.000, 0.000, 0.500)
Ni (0.165, 0.330, 0.746)
Ni (0.165, 0.835, 0.746)
Ni (0.330, 0.165, 0.254)
Ni (0.670, 0.835, 0.746)
Ni (0.835, 0.165, 0.254)
Ni (0.835, 0.670, 0.254)

---

No. 5
# ScUNi6

Crystalline ScUNi6 at its relaxed geometry (GGA-PBE, Alexandria via LeMat-Bulk).

Summary:
As for the formation energy: -0.373 eV per atom. Its space group is No. 187.

abc: 5.268 5.268 4.429
angles: 90.00 90.00 120.00
Fractional positions:
Sc (0.000, 0.000, 0.000)
U (0.667, 0.333, 0.500)
Ni (0.015, 0.507, 0.000)
Ni (0.173, 0.347, 0.500)
Ni (0.173, 0.827, 0.500)
Ni (0.493, 0.507, 0.000)
Ni (0.493, 0.985, 0.000)
Ni (0.653, 0.827, 0.500)

---

No. 6
# ScUNi10

Crystalline ScUNi10 at its relaxed geometry (GGA-PBE, Alexandria via LeMat-Bulk).

Summary:
As for the formation energy: -0.253 eV per atom. Its space group is No. 47.

abc: 3.979 4.785 8.252
angles: 90.00 90.00 90.00
Fractional positions:
Sc (0.000, 0.000, 0.000)
U (0.000, 0.500, 0.500)
Ni (0.000, 0.000, 0.332)
Ni (0.000, 0.000, 0.668)
Ni (0.000, 0.500, 0.168)
Ni (0.000, 0.500, 0.832)
Ni (0.500, 0.000, 0.500)
Ni (0.500, 0.251, 0.250)
Ni (0.500, 0.251, 0.750)
Ni (0.500, 0.500, 0.000)
Ni (0.500, 0.749, 0.250)
Ni (0.500, 0.749, 0.750)

---

No. 7
# ScUNi14

Crystalline ScUNi14 at its relaxed geometry (GGA-PBE, Alexandria via LeMat-Bulk).

Summary:
As for the formation energy: -0.158 eV per atom. Its space group is No. 123.

abc: 5.208 5.208 7.100
angles: 90.00 90.00 90.00
Fractional positions:
Sc (0.000, 0.000, 0.000)
U (0.500, 0.500, 0.000)
Ni (0.000, 0.000, 0.500)
Ni (0.000, 0.500, 0.000)
Ni (0.000, 0.500, 0.500)
Ni (0.252, 0.252, 0.263)
Ni (0.252, 0.252, 0.737)
Ni (0.252, 0.748, 0.263)
Ni (0.252, 0.748, 0.737)
Ni (0.500, 0.000, 0.000)
Ni (0.500, 0.000, 0.500)
Ni (0.500, 0.500, 0.500)
Ni (0.748, 0.252, 0.263)
Ni (0.748, 0.252, 0.737)
Ni (0.748, 0.748, 0.263)
Ni (0.748, 0.748, 0.737)

---

No. 8
# ScUNi4

Crystalline ScUNi4 at its relaxed geometry (GGA-PBE, Alexandria via LeMat-Bulk).

Summary:
As for the formation energy: -0.310 eV per atom. Its space group is No. 216. The energy above the lowest structure with this stoichiometry is 0.058 eV/atom.

abc: 4.954 4.954 4.954
angles: 60.00 60.00 60.00
Fractional positions:
Sc (0.000, 0.000, 0.000)
U (0.250, 0.250, 0.250)
Ni (0.124, 0.625, 0.625)
Ni (0.625, 0.124, 0.625)
Ni (0.625, 0.625, 0.124)
Ni (0.625, 0.625, 0.625)

---

No. 9
# Sc3UNi8

Crystalline Sc3UNi8 at its relaxed geometry (GGA-PBE, Alexandria via LeMat-Bulk).

Summary:
As for the formation energy: -0.423 eV per atom. Its space group is No. 160.

abc: 8.509 8.509 8.509
angles: 33.63 33.63 33.63
Fractional positions:
Sc (0.000, 0.000, 0.000)
Sc (0.123, 0.123, 0.123)
Sc (0.495, 0.495, 0.495)
U (0.623, 0.623, 0.623)
Ni (0.060, 0.060, 0.561)
Ni (0.060, 0.561, 0.060)
Ni (0.061, 0.561, 0.561)
Ni (0.311, 0.311, 0.311)
Ni (0.561, 0.060, 0.060)
Ni (0.561, 0.061, 0.561)
Ni (0.561, 0.561, 0.061)
Ni (0.811, 0.811, 0.811)

---

No. 10
# ScUNi2

Crystalline ScUNi2 at its relaxed geometry (GGA-PBE, Alexandria via LeMat-Bulk).

Summary:
As for the formation energy: -0.207 eV per atom. Its space group is No. 123.

abc: 4.735 4.735 3.029
angles: 90.00 90.00 90.00
Fractional positions:
Sc (0.000, 0.000, 0.000)
U (0.500, 0.500, 0.000)
Ni (0.000, 0.500, 0.500)
Ni (0.500, 0.000, 0.500)

---

No. 11
# ScUNi

Crystalline ScUNi at its relaxed geometry (GGA-PBE, Alexandria via LeMat-Bulk).

Summary:
As for the formation energy: -0.151 eV per atom. Its space group is No. 63.

abc: 3.037 15.258 4.711
angles: 90.00 90.00 90.00
Fractional positions:
Sc (0.000, 0.070, 0.250)
Sc (0.000, 0.930, 0.750)
Sc (0.500, 0.430, 0.750)
Sc (0.500, 0.570, 0.250)
U (0.000, 0.231, 0.750)
U (0.000, 0.769, 0.250)
U (0.500, 0.269, 0.250)
U (0.500, 0.731, 0.750)
Ni (0.000, 0.417, 0.250)
Ni (0.000, 0.583, 0.750)
Ni (0.500, 0.083, 0.750)
Ni (0.500, 0.917, 0.250)

---

No. 12
# Sc2VNi2

Crystalline Sc2VNi2 at its relaxed geometry (GGA-PBE, Alexandria via LeMat-Bulk).

Summary:
As for the formation energy: -0.230 eV per atom. Its space group is No. 127.

abc: 6.210 6.210 4.196
angles: 90.00 90.00 90.00
Fractional positions:
Sc (0.176, 0.324, 0.000)
Sc (0.324, 0.824, 0.000)
Sc (0.676, 0.176, 0.000)
Sc (0.824, 0.676, 0.000)
V (0.000, 0.000, 0.500)
V (0.500, 0.500, 0.500)
Ni (0.135, 0.635, 0.500)
Ni (0.365, 0.135, 0.500)
Ni (0.635, 0.865, 0.500)
Ni (0.865, 0.365, 0.500)

---

No. 13
# ScVNi4

Crystalline ScVNi4 at its relaxed geometry (GGA-PBE, Alexandria via LeMat-Bulk).

Summary:
As for the formation energy: -0.246 eV per atom. Its space group is No. 216.

abc: 4.793 4.793 4.793
angles: 60.00 60.00 60.00
Fractional positions:
Sc (0.000, 0.000, 0.000)
V (0.750, 0.750, 0.750)
Ni (0.376, 0.376, 0.376)
Ni (0.376, 0.376, 0.873)
Ni (0.376, 0.873, 0.376)
Ni (0.873, 0.376, 0.376)

---

No. 14
# Sc2VNi

Crystalline Sc2VNi at its relaxed geometry (GGA-PBE, Alexandria via LeMat-Bulk).

Summary:
As for the formation energy: -0.055 eV per atom. Its space group is No. 123. The energy above the lowest structure with this stoichiometry is 0.020 eV/atom.

abc: 3.121 3.121 6.999
angles: 90.00 90.00 90.00
Fractional positions:
Sc (0.000, 0.000, 0.228)
Sc (0.000, 0.000, 0.772)
V (0.500, 0.500, 0.500)
Ni (0.500, 0.500, 0.000)

---

No. 15
# ScV2Ni

Crystalline ScV2Ni at its relaxed geometry (GGA-PBE, Alexandria via LeMat-Bulk).

Summary:
As for the formation energy: 0.347 eV per atom. Its space group is No. 122. The energy above the lowest structure with this stoichiometry is 0.042 eV/atom.

abc: 7.077 7.077 5.016
angles: 90.00 90.00 90.00
Fractional positions:
Sc (0.000, 0.000, 0.000)
Sc (0.000, 0.500, 0.250)
Sc (0.500, 0.000, 0.750)
Sc (0.500, 0.500, 0.500)
V (0.206, 0.250, 0.625)
V (0.250, 0.706, 0.875)
V (0.250, 0.794, 0.375)
V (0.294, 0.250, 0.125)
V (0.706, 0.750, 0.125)
V (0.750, 0.206, 0.375)
V (0.750, 0.294, 0.875)
V (0.794, 0.750, 0.625)
Ni (0.000, 0.000, 0.500)
Ni (0.000, 0.500, 0.750)
Ni (0.500, 0.000, 0.250)
Ni (0.500, 0.500, 0.000)

---

No. 16
# ScV2Ni2

Crystalline ScV2Ni2 at its relaxed geometry (GGA-PBE, Alexandria via LeMat-Bulk).

Summary:
As for the formation energy: -0.015 eV per atom. Its space group is No. 127. The energy above the lowest structure with this stoichiometry is 0.042 eV/atom.

abc: 7.057 7.057 2.830
angles: 90.00 90.00 90.00
Fractional positions:
Sc (0.000, 0.000, 0.000)
Sc (0.500, 0.500, 0.000)
V (0.169, 0.331, 0.500)
V (0.331, 0.831, 0.500)
V (0.669, 0.169, 0.500)
V (0.831, 0.669, 0.500)
Ni (0.124, 0.624, 0.000)
Ni (0.376, 0.124, 0.000)
Ni (0.624, 0.876, 0.000)
Ni (0.876, 0.376, 0.000)

---

No. 17
# Sc2VNi9

Crystalline Sc2VNi9 at its relaxed geometry (GGA-PBE, Alexandria via LeMat-Bulk).

Summary:
As for the formation energy: -0.371 eV per atom. Its space group is No. 123.

abc: 3.656 3.656 10.966
angles: 90.00 90.00 90.00
Fractional positions:
Sc (0.000, 0.000, 0.168)
Sc (0.000, 0.000, 0.832)
V (0.000, 0.000, 0.500)
Ni (0.000, 0.500, 0.000)
Ni (0.000, 0.500, 0.347)
Ni (0.000, 0.500, 0.653)
Ni (0.500, 0.000, 0.000)
Ni (0.500, 0.000, 0.347)
Ni (0.500, 0.000, 0.653)
Ni (0.500, 0.500, 0.174)
Ni (0.500, 0.500, 0.500)
Ni (0.500, 0.500, 0.826)

---

No. 18
# ScVNi

Crystalline ScVNi at its relaxed geometry (GGA-PBE, Alexandria via LeMat-Bulk).

Summary:
As for the formation energy: -0.197 eV per atom. Its space group is No. 71. The energy above the lowest structure with this stoichiometry is 0.025 eV/atom.

abc: 3.034 4.083 15.026
angles: 90.00 90.00 90.00
Fractional positions:
Sc (0.000, 0.000, 0.176)
Sc (0.000, 0.000, 0.824)
Sc (0.500, 0.500, 0.324)
Sc (0.500, 0.500, 0.676)
V (0.000, 0.500, 0.000)
V (0.000, 0.500, 0.500)
V (0.500, 0.000, 0.000)
V (0.500, 0.000, 0.500)
Ni (0.000, 0.000, 0.370)
Ni (0.000, 0.000, 0.630)
Ni (0.500, 0.500, 0.130)
Ni (0.500, 0.500, 0.870)

---

No. 19
# ScV2Ni2

Crystalline ScV2Ni2 at its relaxed geometry (GGA-PBE, Alexandria via LeMat-Bulk).

Summary:
As for the formation energy: -0.057 eV per atom. Its space group is No. 139. The energy above the lowest structure with this stoichiometry is 0.000 eV/atom.

abc: 3.502 3.502 11.928
angles: 90.00 90.00 90.00
Fractional positions:
Sc (0.000, 0.000, 0.000)
Sc (0.500, 0.500, 0.500)
V (0.000, 0.500, 0.250)
V (0.000, 0.500, 0.750)
V (0.500, 0.000, 0.250)
V (0.500, 0.000, 0.750)
Ni (0.000, 0.000, 0.401)
Ni (0.000, 0.000, 0.599)
Ni (0.500, 0.500, 0.099)
Ni (0.500, 0.500, 0.901)

---

No. 20
# ScV2Ni2

Crystalline ScV2Ni2 at its relaxed geometry (GGA-PBE, Alexandria via LeMat-Bulk).

Summary:
As for the formation energy: 0.174 eV per atom. Its space group is No. 139. The energy above the lowest structure with this stoichiometry is 0.231 eV/atom.

abc: 3.813 3.813 10.358
angles: 90.00 90.00 90.00
Fractional positions:
Sc (0.000, 0.000, 0.000)
Sc (0.500, 0.500, 0.500)
V (0.000, 0.000, 0.389)
V (0.000, 0.000, 0.611)
V (0.500, 0.500, 0.111)
V (0.500, 0.500, 0.889)
Ni (0.000, 0.500, 0.250)
Ni (0.000, 0.500, 0.750)
Ni (0.500, 0.000, 0.250)
Ni (0.500, 0.000, 0.750)

---

No. 21
# ScV2Ni9

Crystalline ScV2Ni9 at its relaxed geometry (GGA-PBE, Alexandria via LeMat-Bulk).

Summary:
As for the formation energy: -0.274 eV per atom. Its space group is No. 123.

abc: 3.607 3.607 10.848
angles: 90.00 90.00 90.00
Fractional positions:
Sc (0.000, 0.000, 0.000)
V (0.000, 0.000, 0.335)
V (0.000, 0.000, 0.665)
Ni (0.000, 0.500, 0.180)
Ni (0.000, 0.500, 0.500)
Ni (0.000, 0.500, 0.820)
Ni (0.500, 0.000, 0.180)
Ni (0.500, 0.000, 0.500)
Ni (0.500, 0.000, 0.820)
Ni (0.500, 0.500, 0.000)
Ni (0.500, 0.500, 0.340)
Ni (0.500, 0.500, 0.660)

---

No. 22
# ScVNi2

Crystalline ScVNi2 at its relaxed geometry (GGA-PBE, Alexandria via LeMat-Bulk).

Summary:
As for the formation energy: -0.186 eV per atom. Its space group is No. 123.

abc: 4.304 4.304 3.062
angles: 90.00 90.00 90.00
Fractional positions:
Sc (0.000, 0.000, 0.000)
V (0.500, 0.500, 0.000)
Ni (0.000, 0.500, 0.500)
Ni (0.500, 0.000, 0.500)

---

No. 23
# Sc2VNi

Crystalline Sc2VNi at its relaxed geometry (GGA-PBE, Alexandria via LeMat-Bulk).

Summary:
As for the formation energy: -0.074 eV per atom. Its space group is No. 123. The energy above the lowest structure with this stoichiometry is 0.000 eV/atom.

abc: 4.559 4.559 3.355
angles: 90.00 90.00 90.00
Fractional positions:
Sc (0.000, 0.500, 0.000)
Sc (0.500, 0.000, 0.000)
V (0.000, 0.000, 0.500)
Ni (0.500, 0.500, 0.500)

---

No. 24
# Sc2VNi

Crystalline Sc2VNi at its relaxed geometry (GGA-PBE, Alexandria via LeMat-Bulk).

Summary:
As for the formation energy: -0.056 eV per atom. Its space group is No. 225. The energy above the lowest structure with this stoichiometry is 0.018 eV/atom.

abc: 6.536 6.536 6.536
angles: 90.00 90.00 90.00
Fractional positions:
Sc (0.250, 0.250, 0.250)
Sc (0.250, 0.250, 0.750)
Sc (0.250, 0.750, 0.250)
Sc (0.250, 0.750, 0.750)
Sc (0.750, 0.250, 0.250)
Sc (0.750, 0.250, 0.750)
Sc (0.750, 0.750, 0.250)
Sc (0.750, 0.750, 0.750)
V (0.000, 0.000, 0.000)
V (0.000, 0.500, 0.500)
V (0.500, 0.000, 0.500)
V (0.500, 0.500, 0.000)
Ni (0.000, 0.000, 0.500)
Ni (0.000, 0.500, 0.000)
Ni (0.500, 0.000, 0.000)
Ni (0.500, 0.500, 0.500)

---

Table of density of states at the Fermi level (states/eV per atom), in record order: 0.9133 0.7480 0.5559 1.0712 0.7197 1.3387 1.7214 1.5995 1.1380 1.4289 1.9443 1.0879 1.5758 1.0190 1.5739 1.4000 0.5951 1.0205 1.4781 1.4103 0.7393 1.4261 0.6783 0.3691